No. 1
First-principles (GGA-PBE) data for a geometry-optimized DyZnCu2Ni structure, as listed in Alexandria.

The space group is Imm2 (No. 44) and the conventional cell measures 3.7701, 3.8106 and 11.1791 Å, with angles of 90.00, 90.00 and 90.00 degrees. The distinct sites, in fractional coordinates, are Dy at (0.0000, 0.0000, 0.0000), Zn at (0.0000, 0.5000, 0.7603), Cu at (0.0000, 0.0000, 0.6161), Cu at (0.0000, 0.5000, 0.2627) and Ni at (0.0000, 0.0000, 0.4028).



No. 2
First-principles (GGA-PBE) data for a geometry-optimized Dy2ZnCu2Ni5 structure, as listed in Alexandria.

The space group is P4/mbm (No. 127) and the conventional cell measures 8.8908, 8.8908 and 3.6949 Å, with angles of 90.00, 90.00 and 90.00 degrees. The distinct sites, in fractional coordinates, are Dy at (0.1801, 0.3199, 0.0000), Zn at (0.0000, 0.0000, 0.0000), Cu at (0.1173, 0.6173, 0.0000), Ni at (0.0000, 0.5000, 0.5000) and Ni at (0.0601, 0.7959, 0.5000).



No. 3
First-principles (GGA-PBE) data for a geometry-optimized Dy2Zn2CuNi5 structure, as listed in Alexandria.

The space group is P4/mbm (No. 127) and the conventional cell measures 9.1476, 9.1476 and 3.5650 Å, with angles of 90.00, 90.00 and 90.00 degrees. The distinct sites, in fractional coordinates, are Dy at (0.1790, 0.3210, 0.0000), Zn at (0.1191, 0.6191, 0.0000), Cu at (0.0000, 0.0000, 0.0000), Ni at (0.0000, 0.5000, 0.5000) and Ni at (0.0577, 0.8013, 0.5000).



No. 4
First-principles (GGA-PBE) data for a geometry-optimized Dy2Zn12CuNi3 structure, as listed in Alexandria.

The space group is R-3m (No. 166, hexagonal axes) and the conventional cell measures 8.6785, 8.6785 and 16.2343 Å, with angles of 90.00, 90.00 and 120.00 degrees. The distinct sites, in fractional coordinates, are Dy at (0.0000, 0.0000, 0.1060), Zn at (0.0042, 0.5021, 0.1423), Zn at (0.0268, 0.5134, 0.3168), Cu at (0.0000, 0.0000, 0.5000) and Ni at (0.0000, 0.5000, 0.0000).



No. 5
First-principles (GGA-PBE) data for a geometry-optimized DyZrCuNi structure, as listed in Alexandria.

The space group is F-43m (No. 216) and the conventional cell measures 6.6619, 6.6619 and 6.6619 Å, with angles of 90.00, 90.00 and 90.00 degrees. The distinct sites, in fractional coordinates, are Dy at (0.0000, 0.0000, 0.0000), Zr at (0.0000, 0.0000, 0.5000), Cu at (0.2500, 0.2500, 0.7500) and Ni at (0.2500, 0.2500, 0.2500).



No. 6
First-principles (GGA-PBE) data for a geometry-optimized DyNpCuO6 structure, as listed in Alexandria.

The space group is P312 (No. 149) and the conventional cell measures 5.6573, 5.6573 and 4.3878 Å, with angles of 90.00, 90.00 and 120.00 degrees. The distinct sites, in fractional coordinates, are Dy at (0.0000, 0.0000, 0.0000), Np at (0.3333, 0.6667, 0.0000), Cu at (0.6667, 0.3333, 0.5000) and O at (0.0216, 0.3630, 0.2394).



No. 7
First-principles (GGA-PBE) data for a geometry-optimized DyNpCuS4 structure, as listed in Alexandria.

The space group is P2_1/m (No. 11) and the conventional cell measures 6.2841, 6.3793 and 7.4606 Å, with angles of 90.00, 106.95 and 90.00 degrees. The distinct sites, in fractional coordinates, are Dy at (0.2282, 0.2500, 0.0541), Np at (0.2236, 0.2500, 0.5553), Cu at (0.2454, 0.7500, 0.3182), S at (0.0153, 0.5104, 0.7504), S at (0.4529, 0.7500, 0.1175) and S at (0.4571, 0.7500, 0.6166).



No. 8
First-principles (GGA-PBE) data for a geometry-optimized DyNp2CuS5 structure, as listed in Alexandria.

The space group is Cmc2_1 (No. 36) and the conventional cell measures 3.7962, 16.2974 and 11.7239 Å, with angles of 90.00, 90.00 and 90.00 degrees. The distinct sites, in fractional coordinates, are Dy at (0.0000, 0.1811, 0.0000), Np at (0.0000, 0.1109, 0.3205), Np at (0.0000, 0.1166, 0.6651), Cu at (0.0000, 0.4491, 0.3972), S at (0.0000, 0.0128, 0.9913), S at (0.0000, 0.3019, 0.6650), S at (0.0000, 0.3139, 0.3306), S at (0.0000, 0.3470, 0.9924) and S at (0.0000, 0.4946, 0.7221).



No. 9
First-principles (GGA-PBE) data for a geometry-optimized Dy2NpCuSe5 structure, as listed in Alexandria.

The space group is Cmc2_1 (No. 36) and the conventional cell measures 3.9746, 17.9582 and 11.8523 Å, with angles of 90.00, 90.00 and 90.00 degrees. The distinct sites, in fractional coordinates, are Dy at (0.0000, 0.1024, 0.0000), Dy at (0.0000, 0.1180, 0.6224), Np at (0.0000, 0.1976, 0.3255), Cu at (0.0000, 0.4346, 0.7704), Se at (0.0000, 0.0449, 0.3802), Se at (0.0000, 0.2931, 0.9989), Se at (0.0000, 0.3213, 0.6533), Se at (0.0000, 0.3610, 0.3182) and Se at (0.0000, 0.4972, 0.0960).



No. 10
First-principles (GGA-PBE) data for a geometry-optimized Dy3CuO6 structure, as listed in Alexandria.

The space group is Cmc2_1 (No. 36) and the conventional cell measures 8.8595, 11.0745 and 5.4986 Å, with angles of 90.00, 90.00 and 90.00 degrees. The distinct sites, in fractional coordinates, are Dy at (0.0000, 0.1026, 0.0000), Dy at (0.1937, 0.3941, 0.0473), Cu at (0.0000, 0.3137, 0.5705), O at (0.0000, 0.2834, 0.2341), O at (0.0000, 0.4617, 0.7636), O at (0.1574, 0.2393, 0.7624) and O at (0.1600, 0.0152, 0.2758).



DFT total energy readings, ordered: -42.23, -100.25, -93.59, -126.40, -95.47, -70.85, -93.89, -270.30, -221.66, -300.16 eV per cell